1.
LiTcNO | PBE | relaxed Values from VASP.

Structure (Quantum ESPRESSO input):
```
&SYSTEM
  ibrav = 0, nat = 8, ntyp = 4
/
ATOMIC_SPECIES
Li 6.94 Li.upf
Tc 98.00 Tc.upf
N 14.01 N.upf
O 16.00 O.upf
ATOMIC_POSITIONS angstrom
Li 0.0000 0.6931 0.0000
Li 0.0000 4.7656 2.5398
Tc 1.6301 2.1438 2.4395
Tc 1.6301 3.3148 4.9793
N 0.0000 1.3383 2.0360
N 0.0000 4.1203 4.5758
O 1.6301 1.4377 4.3766
O 1.6301 4.0210 1.8368
CELL_PARAMETERS angstrom
3.2602 0.0000 0.0000
0.0000 5.4586 0.0000
0.0000 0.0000 5.0796
```

Computed properties:
The crystal system is orthorhombic.

---

2.
LiTcNO | PBE | relaxed Values from VASP.

Structure (Quantum ESPRESSO input):
```
&SYSTEM
  ibrav = 0, nat = 8, ntyp = 4
/
ATOMIC_SPECIES
Li 6.94 Li.upf
Tc 98.00 Tc.upf
N 14.01 N.upf
O 16.00 O.upf
ATOMIC_POSITIONS angstrom
Li 0.0000 0.9123 0.0000
Li 0.0000 4.8182 2.7064
Tc 1.4462 1.9958 2.7359
Tc 1.4462 3.7347 0.0295
N 1.4462 2.1168 4.5883
N 1.4462 3.6137 1.8819
O 0.0000 0.8189 1.9331
O 0.0000 4.9116 4.6396
CELL_PARAMETERS angstrom
2.8924 0.0000 0.0000
0.0000 5.7305 0.0000
0.0000 0.0000 5.4129
```

Computed properties:
The crystal system is orthorhombic.

---

3.
LiTcNO | PBE | relaxed Values from VASP.

Structure (Quantum ESPRESSO input):
```
&SYSTEM
  ibrav = 0, nat = 8, ntyp = 4
/
ATOMIC_SPECIES
Li 6.94 Li.upf
Tc 98.00 Tc.upf
N 14.01 N.upf
O 16.00 O.upf
ATOMIC_POSITIONS angstrom
Li 0.7812 2.3436 0.0000
Li 2.3436 0.7812 0.0000
Tc 0.7812 0.7812 2.3302
Tc 2.3436 2.3436 4.9771
N 0.7812 0.7812 5.9380
N 2.3436 2.3436 1.3693
O 0.7812 2.3436 3.6536
O 2.3436 0.7812 3.6536
CELL_PARAMETERS angstrom
3.1248 0.0000 0.0000
0.0000 3.1248 0.0000
0.0000 0.0000 7.3073
```

Computed properties:
The crystal system is tetragonal.

---

4.
LiTcNO | PBE | relaxed Values from VASP.

Structure (Quantum ESPRESSO input):
```
&SYSTEM
  ibrav = 0, nat = 4, ntyp = 4
/
ATOMIC_SPECIES
Li 6.94 Li.upf
Tc 98.00 Tc.upf
N 14.01 N.upf
O 16.00 O.upf
ATOMIC_POSITIONS angstrom
Li 0.0000 0.0000 0.0000
Tc 1.4566 1.4566 2.0640
N 0.0000 0.0000 2.0640
O 1.4566 1.4566 0.0000
CELL_PARAMETERS angstrom
2.9131 0.0000 0.0000
0.0000 2.9131 0.0000
0.0000 0.0000 4.1281
```

Computed properties:
The crystal system is tetragonal.

---

In the order shown, the computed final energy values come out to -7.184; -7.194; -6.436; -7.207 eV/atom.
In the order shown, the computed energy above the lowest structure with this stoichiometry values come out to 0.09; 0.05; 3.09; 0.00 eV/f.u..